# 1
## CaNdErTl (PBE)

Data for a geometry-optimized CaNdErTl structure.

Lattice parameters (Å, degrees): 5.5620 5.5620 5.5620 60.00 60.00 60.00
With the nearest neighbours (Å) after each atom.
Positions (direct):
1 Nd 0.0000 0.0000 0.0000  4 Ca 3.41, 4 Tl 3.41
2 Tl 0.2500 0.2500 0.2500  4 Er 3.41, 4 Nd 3.41
3 Ca 0.7500 0.7500 0.7500  4 Nd 3.41, 4 Er 3.41
4 Er 0.5000 0.5000 0.5000  4 Tl 3.41, 4 Ca 3.41

***

# 2
## KSbP (PBE)

Data for a geometry-optimized KSbP structure.

Lattice parameters (Å, degrees): 5.1658 5.1658 7.1710 90.00 90.00 90.00
With the nearest neighbours (Å) after each atom.
Positions (direct):
1 Sb 0.0000 0.5000 0.8618  4 P 2.77
2 K 0.5000 0.0000 0.6673  1 Sb 3.38, 4 P 3.52
3 Sb 0.5000 0.0000 0.1382  4 P 2.77
4 P 0.5000 0.5000 0.0000  4 Sb 2.77
5 K 0.0000 0.5000 0.3327  1 Sb 3.38, 4 P 3.52
6 P 0.0000 0.0000 0.0000  4 Sb 2.77

energy above the lowest structure with this stoichiometry: 0.117 eV per atom
formation energy without anion corrections: -0.158 eV per atom

***

# 3
## Ca2YNi (PBE)

Data for a geometry-optimized Ca2YNi structure.

Lattice parameters (Å, degrees): 9.9768 9.9768 9.9768 22.67 22.67 22.67
With the nearest neighbours (Å) after each atom.
Positions (direct):
1 Ni 0.4957 0.4957 0.4957  3 Y 2.68, 3 Ca 2.84
2 Ca 0.0032 0.0032 0.0032  9 Ca 3.92-4.06, 3 Y 3.93
3 Y 0.7801 0.7801 0.7801  3 Ni 2.68
4 Ca 0.2209 0.2209 0.2209  3 Ni 2.84

energy above the lowest structure with this stoichiometry: 0.053 eV per atom

***

# 4
## VFe2Sn (PBE)

Data for a geometry-optimized VFe2Sn structure.

Lattice parameters (Å, degrees): 3.0057 3.0057 5.9781 90.00 90.00 90.00
With the nearest neighbours (Å) after each atom.
Positions (direct):
1 Sn 0.5000 0.5000 0.5000  8 Fe 2.70, 2 V 2.99, 4 Sn 3.01
2 V 0.5000 0.5000 0.0000  8 Fe 2.50
3 Fe 0.0000 0.0000 0.2216  4 V 2.50, 1 Fe 2.65, 4 Sn 2.70
4 Fe 0.0000 0.0000 0.7784  4 V 2.50, 1 Fe 2.65, 4 Sn 2.70

***

# 5
## RbCaHg (PBE)

Data for a geometry-optimized RbCaHg structure.

Lattice parameters (Å, degrees): 4.1366 4.1366 8.0357 104.92 104.92 90.00
With the nearest neighbours (Å) after each atom.
Positions (direct):
1 Ca 0.7160 0.7160 0.4321  4 Hg 3.20
2 Hg 0.3030 0.3030 0.6059  4 Ca 3.20
3 Rb 0.9810 0.9810 0.9620  4 Hg 3.96, 1 Ca 3.97, 4 Rb 4.14

***

# 6
## Cs2AcCd3F12 (PBE)

Data for a geometry-optimized Cs2AcCd3F12 structure.

Lattice parameters (Å, degrees): 7.6890 7.6890 7.6890 65.33 65.33 65.33
With the nearest neighbours (Å) after each atom.
Positions (direct):
1 Ac 0.0000 0.0000 0.0000  6 F 2.57
2 F 0.8922 0.2593 0.2593  2 Cd 2.22
3 F 0.2593 0.2593 0.8922  2 Cd 2.22
4 F 0.1078 0.7407 0.7407  2 Cd 2.22
5 F 0.7407 0.1078 0.7407  2 Cd 2.22
6 Cs 0.6137 0.6137 0.6137  3 F 2.93
7 Cd 0.5000 0.0000 0.0000  6 F 2.21-2.22
8 Cd 0.0000 0.0000 0.5000  6 F 2.21-2.22
9 Cs 0.3863 0.3863 0.3863  3 F 2.93
10 F 0.1259 0.6161 0.1259  1 Cd 2.21
11 F 0.7407 0.7407 0.1078  2 Cd 2.22
12 F 0.3839 0.8741 0.8741  1 Cd 2.21
13 F 0.1259 0.1259 0.6161  1 Cd 2.21
14 F 0.6161 0.1259 0.1259  1 Cd 2.21
15 F 0.8741 0.8741 0.3839  1 Cd 2.21
16 Cd 0.0000 0.5000 0.0000  6 F 2.21-2.22
17 F 0.2593 0.8922 0.2593  2 Cd 2.22
18 F 0.8741 0.3839 0.8741  1 Cd 2.21

formation energy without anion corrections: -2.627 eV per atom

***

# 7
## K3Rb4Na4 (PBE)

Data for a geometry-optimized K3Rb4Na4 structure.

Lattice parameters (Å, degrees): 4.6793 7.0753 21.9865 81.28 84.10 89.75
With the nearest neighbours (Å) after each atom.
Positions (direct):
1 K 0.1723 0.6474 0.6964  4 Na 4.24-4.46, 6 Rb 4.39-4.70, 2 K 4.68
2 Rb 0.5938 0.5576 0.8835  4 Na 4.49-4.60, 5 K 4.65-5.00, 2 Rb 4.68
3 Na 0.7102 0.7267 0.5267  3 Na 4.15-4.41, 4 Rb 4.17-4.24, 2 K 4.24-4.46
4 Rb 0.2765 0.8239 0.3658  6 Na 4.17-4.45, 4 K 4.39-4.51
5 Na 0.8513 0.9061 0.1916  3 K 4.15-4.29, 6 Rb 4.41-4.60
6 Na 0.1487 0.0939 0.8084  3 K 4.15-4.29, 6 Rb 4.41-4.60
7 K 0.8277 0.3526 0.3036  4 Na 4.24-4.46, 6 Rb 4.39-4.70, 2 K 4.68
8 Na 0.2897 0.2733 0.4733  3 Na 4.15-4.41, 4 Rb 4.17-4.24, 2 K 4.24-4.46
9 Rb 0.7235 0.1761 0.6342  6 Na 4.17-4.45, 4 K 4.39-4.51
10 K 0.0000 0.0000 0.0000  2 Na 4.15
11 Rb 0.4062 0.4424 0.1165  4 Na 4.49-4.60, 5 K 4.65-5.00, 2 Rb 4.68

energy above the lowest structure with this stoichiometry: 0.011 eV per atom

***

# 8
## Zr3ScH (PBE)

Data for a geometry-optimized Zr3ScH structure.

Lattice parameters (Å, degrees): 5.0795 5.0795 5.0795 90.00 90.00 90.00
With the nearest neighbours (Å) after each atom.
Positions (direct):
1 Zr 0.5000 0.0000 0.0000  2 Sc 2.54
2 H 0.5000 0.5000 0.5000  12 Zr 3.59
3 Sc 0.0000 0.0000 0.0000  6 Zr 2.54
4 Zr 0.0000 0.0000 0.5000  2 Sc 2.54
5 Zr 0.0000 0.5000 0.0000  2 Sc 2.54

energy above the lowest structure with this stoichiometry: 1.884 eV per atom

***

# 9
## LaSeO4F (PBE)

Data for a geometry-optimized LaSeO4F structure.

Lattice parameters (Å, degrees): 6.1168 6.1168 7.0079 77.64 77.64 76.42
With the nearest neighbours (Å) after each atom.
Positions (direct):
1 O 0.5244 0.5244 0.2605  1 Se 1.65
2 O 0.8644 0.5201 0.8534  1 Se 1.69
3 F 0.0237 0.0237 0.1718  2 La 2.32-2.35, 1 F 2.57
4 O 0.7511 0.7511 0.4942  1 Se 1.65
5 La 0.2074 0.2074 0.8713  2 F 2.32-2.35, 4 O 2.48-2.49
6 F 0.9763 0.9763 0.8282  2 La 2.32-2.35, 1 F 2.57
7 O 0.2489 0.2489 0.5058  1 Se 1.65
8 Se 0.6497 0.6497 0.7257  4 O 1.65-1.69
9 O 0.5201 0.8644 0.8534  1 Se 1.69
10 O 0.1356 0.4799 0.1466  1 Se 1.69
11 O 0.4799 0.1356 0.1466  1 Se 1.69
12 Se 0.3503 0.3503 0.2743  4 O 1.65-1.69
13 La 0.7926 0.7926 0.1287  2 F 2.32-2.35, 4 O 2.48-2.49
14 O 0.4756 0.4756 0.7395  1 Se 1.65

formation energy without anion corrections: -2.087 eV per atom

***

# 10
## V4ZnNi12 (PBE)

Data for a geometry-optimized V4ZnNi12 structure.

Lattice parameters (Å, degrees): 6.4177 6.4177 6.4177 109.47 109.47 109.47
With the nearest neighbours (Å) after each atom.
Positions (direct):
1 Ni 0.7500 0.2500 0.5000  8 Ni 2.37-2.62, 4 V 2.62
2 V 0.0000 0.5000 0.0000  12 Ni 2.62-2.65
3 V 0.5000 0.0000 0.0000  12 Ni 2.62-2.65
4 Ni 0.2500 0.5000 0.7500  8 Ni 2.37-2.62, 4 V 2.62
5 Ni 0.7500 0.5000 0.2500  8 Ni 2.37-2.62, 4 V 2.62
6 V 0.5000 0.5000 0.5000  12 Ni 2.62-2.65
7 Ni 0.2500 0.7500 0.5000  8 Ni 2.37-2.62, 4 V 2.62
8 Ni 0.5000 0.7500 0.2500  8 Ni 2.37-2.62, 4 V 2.62
9 Ni 0.3006 0.0000 0.3006  1 Zn 2.23, 4 Ni 2.37
10 Ni 0.6994 0.6994 0.0000  1 Zn 2.23, 4 Ni 2.37
11 Ni 0.6994 0.0000 0.6994  1 Zn 2.23, 4 Ni 2.37
12 Zn 0.0000 0.0000 0.0000  6 Ni 2.23
13 Ni 0.0000 0.6994 0.6994  1 Zn 2.23, 4 Ni 2.37
14 Ni 0.0000 0.3006 0.3006  1 Zn 2.23, 4 Ni 2.37
15 Ni 0.3006 0.3006 0.0000  1 Zn 2.23, 4 Ni 2.37
16 V 0.0000 0.0000 0.5000  12 Ni 2.62-2.65
17 Ni 0.5000 0.2500 0.7500  8 Ni 2.37-2.62, 4 V 2.62

***

# 11
## GdTm3Cu (PBE)

Data for a geometry-optimized GdTm3Cu structure.

Lattice parameters (Å, degrees): 5.3022 5.3022 5.3022 90.00 90.00 90.00
With the nearest neighbours (Å) after each atom.
Positions (direct):
1 Tm 0.5000 0.0000 0.0000  2 Cu 2.65
2 Cu 0.0000 0.0000 0.0000  6 Tm 2.65
3 Tm 0.0000 0.0000 0.5000  2 Cu 2.65
4 Gd 0.5000 0.5000 0.5000  12 Tm 3.75
5 Tm 0.0000 0.5000 0.0000  2 Cu 2.65

***

# 12
## Sr2CoSb (PBE)

Data for a geometry-optimized Sr2CoSb structure.

Lattice parameters (Å, degrees): 6.7369 6.7369 4.9751 68.34 68.34 35.86
With the nearest neighbours (Å) after each atom.
Positions (direct):
1 Sr 0.9856 0.9856 0.0144  4 Co 3.37-3.38, 2 Sb 3.45, 2 Sr 3.64-3.65
2 Sr 0.7600 0.7600 0.7400  4 Sb 3.35, 2 Co 3.38, 2 Sr 3.64-3.65
3 Sb 0.1883 0.1883 0.3117  2 Co 2.53
4 Co 0.5660 0.5660 0.4339  2 Sb 2.53

formation energy without anion corrections: -0.156 eV per atom

***

Number 1: total energy -13.94 eV per cell. Number 2: total energy -22.21 eV per cell. Number 3: total energy -16.46 eV per cell. Number 4: total energy -29.87 eV per cell. Number 5: total energy -3.81 eV per cell. Number 6: total energy -78.30 eV per cell. Number 7: total energy -11.91 eV per cell. Number 8: total energy -26.54 eV per cell. Number 9: total energy -89.45 eV per cell. Number 10: total energy -106.40 eV per cell. Number 11: total energy -31.17 eV per cell. Number 12: total energy -15.22 eV per cell.